LuInPdAu | PBE | relaxed

Results
- Excess energy over the best structure of this formula in the dataset: 197 meV/atom

a = 4.8210 Å, b = 4.8210 Å, c = 4.8210 Å
α = 60.00°, β = 60.00°, γ = 60.00°
Last column: nearest neighbours and their distance in Å.
Fractional positions:
Lu1 0.0000 0.0000 0.0000  4 In 2.95, 4 Au 2.95
In1 0.2500 0.2500 0.2500  4 Pd 2.95, 4 Lu 2.95
Pd1 0.5000 0.5000 0.5000  4 Au 2.95, 4 In 2.95
Au1 0.7500 0.7500 0.7500  4 Pd 2.95, 4 Lu 2.95

LuInPdAu | PBE | relaxed

Results
- Excess energy over the best structure of this formula in the dataset: 0 meV/atom

a = 4.8181 Å, b = 4.8181 Å, c = 4.8181 Å
α = 60.00°, β = 60.00°, γ = 60.00°
Last column: nearest neighbours and their distance in Å.
Fractional positions:
Lu1 0.0000 0.0000 0.0000  4 Pd 2.95, 4 Au 2.95
In1 0.5000 0.5000 0.5000  4 Pd 2.95, 4 Au 2.95
Pd1 0.2500 0.2500 0.2500  4 In 2.95, 4 Lu 2.95
Au1 0.7500 0.7500 0.7500  4 In 2.95, 4 Lu 2.95

LuInPdAu | PBE | relaxed

Results
- Excess energy over the best structure of this formula in the dataset: 247 meV/atom

a = 4.8229 Å, b = 4.8229 Å, c = 4.8229 Å
α = 60.00°, β = 60.00°, γ = 60.00°
Last column: nearest neighbours and their distance in Å.
Fractional positions:
Lu1 0.0000 0.0000 0.0000  4 In 2.95, 4 Pd 2.95
In1 0.7500 0.7500 0.7500  4 Lu 2.95, 4 Au 2.95
Pd1 0.2500 0.2500 0.2500  4 Au 2.95, 4 Lu 2.95
Au1 0.5000 0.5000 0.5000  4 In 2.95, 4 Pd 2.95

Lu3In3PdAu | PBE | relaxed

Results
- Total DFT energy (no corrections): -4.4689 eV/atom

a = 7.6662 Å, b = 7.6662 Å, c = 3.5995 Å
α = 90.00°, β = 90.00°, γ = 120.00°
Last column: nearest neighbours and their distance in Å.
Fractional positions:
Lu1 0.0872 0.3409 0.0000  2 Pd 2.89, 2 Au 2.96
Lu2 0.2537 0.9128 0.0000  2 Pd 2.89, 2 Au 2.96
Lu3 0.6591 0.7463 0.0000  2 Pd 2.89, 2 Au 2.96
In1 0.4360 0.3367 0.5000  1 Pd 3.00, 1 Au 3.03, 2 In 3.09, 6 Lu 3.24-3.35
In2 0.6633 0.0993 0.5000  1 Pd 3.00, 1 Au 3.03, 2 In 3.09, 6 Lu 3.24-3.35
In3 0.9007 0.5640 0.5000  1 Pd 3.00, 1 Au 3.03, 2 In 3.09, 6 Lu 3.24-3.35
Pd1 0.3333 0.6667 0.5000  6 Lu 2.89, 3 In 3.00
Au1 0.0000 0.0000 0.5000  6 Lu 2.96, 3 In 3.03

Lu2ScIn3Au2 | PBE | relaxed

Results
- Total DFT energy (no corrections): -4.3985 eV/atom

a = 3.4933 Å, b = 7.6999 Å, c = 7.6999 Å
α = 120.25°, β = 90.00°, γ = 90.00°
Last column: nearest neighbours and their distance in Å.
Fractional positions:
Lu1 0.0000 0.2056 0.7944  4 Au 2.92, 2 In 3.26
Lu2 0.0000 0.7944 0.2056  4 Au 2.92, 2 In 3.26
Sc1 0.0000 0.3846 0.3846  4 Au 2.88, 4 In 3.22
In1 0.5000 0.0295 0.0295  2 Au 3.00, 2 In 3.11, 2 Sc 3.24, 4 Lu 3.26
In2 0.5000 0.5627 0.7908  2 Au 3.00-3.10, 2 In 3.05-3.11, 2 Sc 3.22, 4 Lu 3.27
In3 0.5000 0.7908 0.5627  2 Au 3.00-3.10, 2 In 3.05-3.11, 2 Sc 3.22, 4 Lu 3.27
Au1 0.5000 0.1320 0.4601  2 Sc 2.88, 4 Lu 2.92, 3 In 3.00-3.10
Au2 0.5000 0.4601 0.1320  2 Sc 2.88, 4 Lu 2.92, 3 In 3.00-3.10

Mg6InAu | PBE | relaxed

Results
- Total DFT energy (no corrections): -2.1139 eV/atom

a = 6.2289 Å, b = 6.2289 Å, c = 4.9377 Å
α = 90.00°, β = 90.00°, γ = 120.00°
Last column: nearest neighbours and their distance in Å.
Fractional positions:
Mg1 0.1671 0.3342 0.0000  2 In 3.06, 8 Mg 3.07-3.12, 2 Au 3.11
Mg2 0.1671 0.8329 0.0000  2 In 3.06, 8 Mg 3.07-3.12, 2 Au 3.11
Mg3 0.5058 0.0116 0.5000  8 Mg 3.01-3.22, 2 Au 3.02, 2 In 3.12
Mg4 0.5058 0.4942 0.5000  8 Mg 3.01-3.22, 2 Au 3.02, 2 In 3.12
Mg5 0.6658 0.8329 0.0000  2 In 3.06, 8 Mg 3.07-3.12, 2 Au 3.11
Mg6 0.9884 0.4942 0.5000  8 Mg 3.01-3.22, 2 Au 3.02, 2 In 3.12
In1 0.0000 0.0000 0.5000  12 Mg 3.06-3.12
Au1 0.6667 0.3333 0.0000  12 Mg 3.02-3.11

MgIn2Au2 | PBE | relaxed

Results
- Total DFT energy (no corrections): -3.0360 eV/atom

a = 4.6719 Å, b = 4.6719 Å, c = 5.8389 Å
α = 90.00°, β = 90.00°, γ = 120.00°
Last column: nearest neighbours and their distance in Å.
Fractional positions:
Mg1 0.0000 0.0000 0.0000  6 Au 2.89
In1 0.3333 0.6667 0.3361  5 Au 2.85-2.99
In2 0.6667 0.3333 0.6639  5 Au 2.85-2.99
Au1 0.3333 0.6667 0.8246  5 In 2.85-2.99, 3 Mg 2.89
Au2 0.6667 0.3333 0.1754  5 In 2.85-2.99, 3 Mg 2.89

Na2Mg2In2NiAu | PBE | relaxed

Results
- Total DFT energy (no corrections): -2.6324 eV/atom

a = 4.7523 Å, b = 4.7523 Å, c = 6.8445 Å
α = 90.00°, β = 90.00°, γ = 90.00°
Last column: nearest neighbours and their distance in Å.
Fractional positions:
Na1 0.0000 0.0000 0.0000  4 In 2.85, 4 Mg 2.89
Na2 0.5000 0.5000 0.5000  4 Mg 2.96, 4 In 3.01
Mg1 0.0000 0.5000 0.2414  4 Na 2.89-2.96, 2 Ni 2.89, 2 Au 2.96, 1 In 3.23
Mg2 0.5000 0.0000 0.7586  4 Na 2.89-2.96, 2 Ni 2.89, 2 Au 2.96, 1 In 3.23
In1 0.0000 0.5000 0.7702  4 Na 2.85-3.01, 2 Ni 2.85, 2 Au 3.01
In2 0.5000 0.0000 0.2298  4 Na 2.85-3.01, 2 Ni 2.85, 2 Au 3.01
Ni1 0.5000 0.5000 0.0000  4 In 2.85, 4 Mg 2.89
Au1 0.0000 0.0000 0.5000  4 Mg 2.96, 4 In 3.01

Na2Mg2In2PdAu | PBE | relaxed

Results
- Total DFT energy (no corrections): -2.7469 eV/atom

a = 4.8089 Å, b = 4.8089 Å, c = 6.8304 Å
α = 90.00°, β = 90.00°, γ = 90.00°
Last column: nearest neighbours and their distance in Å.
Fractional positions:
Na1 0.0000 0.0000 0.0000  4 In 2.91, 4 Mg 2.93
Na2 0.5000 0.5000 0.5000  4 Mg 2.97, 4 In 2.99
Mg1 0.0000 0.5000 0.2449  2 Pd 2.93, 4 Na 2.93-2.97, 2 Au 2.97
Mg2 0.5000 0.0000 0.7551  2 Pd 2.93, 4 Na 2.93-2.97, 2 Au 2.97
In1 0.0000 0.5000 0.7596  2 Pd 2.91, 4 Na 2.91-2.99, 2 Au 2.99
In2 0.5000 0.0000 0.2404  2 Pd 2.91, 4 Na 2.91-2.99, 2 Au 2.99
Pd1 0.5000 0.5000 0.0000  4 In 2.91, 4 Mg 2.93
Au1 0.0000 0.0000 0.5000  4 Mg 2.97, 4 In 2.99

Na2Mg2ZnInAu2 | PBE | relaxed

Results
- Total DFT energy (no corrections): -2.2829 eV/atom

a = 4.7565 Å, b = 4.7565 Å, c = 6.8544 Å
α = 90.00°, β = 90.00°, γ = 90.00°
Last column: nearest neighbours and their distance in Å.
Fractional positions:
Na1 0.0000 0.5000 0.2339  4 Mg 2.87-3.00, 2 Zn 2.87, 2 In 3.00
Na2 0.5000 0.0000 0.7661  4 Mg 2.87-3.00, 2 Zn 2.87, 2 In 3.00
Mg1 0.0000 0.0000 0.0000  4 Na 2.87, 4 Au 2.89
Mg2 0.5000 0.5000 0.5000  4 Au 2.98, 4 Na 3.00
Zn1 0.5000 0.5000 0.0000  4 Na 2.87, 4 Au 2.89
In1 0.0000 0.0000 0.5000  4 Au 2.98, 4 Na 3.00
Au1 0.0000 0.5000 0.7617  4 Mg 2.89-2.98, 2 Zn 2.89, 2 In 2.98
Au2 0.5000 0.0000 0.2383  4 Mg 2.89-2.98, 2 Zn 2.89, 2 In 2.98

Nd3Mg3In2Au | PBE | relaxed

Results
- Total DFT energy (no corrections): -3.5829 eV/atom

a = 7.6896 Å, b = 7.6896 Å, c = 4.6389 Å
α = 90.00°, β = 90.00°, γ = 120.00°
Last column: nearest neighbours and their distance in Å.
Fractional positions:
Nd1 0.0000 0.5933 0.0000  1 Au 3.13, 4 In 3.29
Nd2 0.4067 0.4067 0.0000  1 Au 3.13, 4 In 3.29
Nd3 0.5933 0.0000 0.0000  1 Au 3.13, 4 In 3.29
Mg1 0.0000 0.2346 0.5000  2 Au 2.94, 2 In 3.02, 2 Mg 3.12
Mg2 0.2346 0.0000 0.5000  2 Au 2.94, 2 In 3.02, 2 Mg 3.12
Mg3 0.7654 0.7654 0.5000  2 Au 2.94, 2 In 3.02, 2 Mg 3.12
In1 0.3333 0.6667 0.5000  3 Mg 3.02, 6 Nd 3.29
In2 0.6667 0.3333 0.5000  3 Mg 3.02, 6 Nd 3.29
Au1 0.0000 0.0000 0.0000  6 Mg 2.94, 3 Nd 3.13

Pr3MgIn2PdAu2 | PBE | relaxed

Results
- Total DFT energy (no corrections): -4.4009 eV/atom

a = 4.1333 Å, b = 7.9027 Å, c = 7.9027 Å
α = 120.44°, β = 90.00°, γ = 90.00°
Last column: nearest neighbours and their distance in Å.
Fractional positions:
Pr1 0.0000 0.0000 0.0000  4 Au 3.14, 1 Pd 3.22, 2 Mg 3.47, 4 In 3.49
Pr2 0.0000 0.4032 0.8168  4 Au 3.14-3.20, 1 Pd 3.24, 4 In 3.42-3.47
Pr3 0.0000 0.8168 0.4032  4 Au 3.14-3.20, 1 Pd 3.24, 4 In 3.42-3.47
Mg1 0.5000 0.6445 0.6445  2 Pd 2.76, 2 Au 3.00
In1 0.5000 0.1651 0.4095  2 Pd 2.83, 2 Au 3.09
In2 0.5000 0.4095 0.1651  2 Pd 2.83, 2 Au 3.09
Pd1 0.0000 0.4107 0.4107  2 Mg 2.76, 4 In 2.83
Au1 0.5000 0.0625 0.7380  1 Mg 3.00, 2 In 3.09, 6 Pr 3.14-3.20
Au2 0.5000 0.7380 0.0625  1 Mg 3.00, 2 In 3.09, 6 Pr 3.14-3.20

Pr3Mg2InPd2Au | PBE | relaxed

Results
- Total DFT energy (no corrections): -4.4383 eV/atom

a = 4.1885 Å, b = 7.7026 Å, c = 7.7026 Å
α = 119.50°, β = 90.00°, γ = 90.00°
Last column: nearest neighbours and their distance in Å.
Fractional positions:
Pr1 0.0000 0.0000 0.0000  4 Pd 3.12, 1 Au 3.13, 2 In 3.32
Pr2 0.0000 0.4268 0.8353  4 Pd 3.14, 1 Au 3.24, 4 Mg 3.37-3.49, 2 In 3.44
Pr3 0.0000 0.8353 0.4268  4 Pd 3.14, 1 Au 3.24, 4 Mg 3.37-3.49, 2 In 3.44
Mg1 0.5000 0.1766 0.4228  2 Au 2.78, 2 Pd 2.95-2.96
Mg2 0.5000 0.4228 0.1766  2 Au 2.78, 2 Pd 2.95-2.96
In1 0.5000 0.6673 0.6673  2 Au 2.93, 2 Pd 3.00
Pd1 0.5000 0.0933 0.7576  2 Mg 2.95-2.96, 1 In 3.00, 6 Pr 3.12-3.14
Pd2 0.5000 0.7576 0.0933  2 Mg 2.95-2.96, 1 In 3.00, 6 Pr 3.12-3.14
Au1 0.0000 0.4036 0.4036  4 Mg 2.78, 2 In 2.93

Pr3MgIn2Pd2Au | PBE | relaxed

Results
- Total DFT energy (no corrections): -4.6039 eV/atom

a = 4.1565 Å, b = 7.7807 Å, c = 7.7807 Å
α = 120.33°, β = 90.00°, γ = 90.00°
Last column: nearest neighbours and their distance in Å.
Fractional positions:
Pr1 0.0000 0.0000 0.0000  4 Pd 3.14, 1 Au 3.30, 2 Mg 3.37, 4 In 3.46
Pr2 0.0000 0.1797 0.5969  4 Pd 3.12-3.13, 1 Au 3.16, 4 In 3.32-3.48
Pr3 0.0000 0.5969 0.1797  4 Pd 3.12-3.13, 1 Au 3.16, 4 In 3.32-3.48
Mg1 0.5000 0.3422 0.3422  2 Au 2.75, 2 Pd 2.94
In1 0.5000 0.5927 0.8454  2 Au 2.91, 2 Pd 2.96-2.97
In2 0.5000 0.8454 0.5927  2 Au 2.91, 2 Pd 2.96-2.97
Pd1 0.5000 0.2602 0.9291  1 Mg 2.94, 2 In 2.96-2.97, 6 Pr 3.12-3.14
Pd2 0.5000 0.9291 0.2602  1 Mg 2.94, 2 In 2.96-2.97, 6 Pr 3.12-3.14
Au1 0.0000 0.5740 0.5740  2 Mg 2.75, 4 In 2.91

Pr3Mg3InAu2 | PBE | relaxed

Results
- Total DFT energy (no corrections): -3.6684 eV/atom

a = 7.6115 Å, b = 7.6115 Å, c = 4.6004 Å
α = 90.00°, β = 90.00°, γ = 120.00°
Last column: nearest neighbours and their distance in Å.
Fractional positions:
Pr1 0.0000 0.4279 0.0000  4 Au 3.23, 1 In 3.26, 2 Mg 3.37
Pr2 0.4279 0.0000 0.0000  4 Au 3.23, 1 In 3.26, 2 Mg 3.37
Pr3 0.5721 0.5721 0.0000  4 Au 3.23, 1 In 3.26, 2 Mg 3.37
Mg1 0.0000 0.7519 0.5000  2 Au 2.92, 2 In 2.98
Mg2 0.2481 0.2481 0.5000  2 Au 2.92, 2 In 2.98
Mg3 0.7519 0.0000 0.5000  2 Au 2.92, 2 In 2.98
In1 0.0000 0.0000 0.0000  6 Mg 2.98, 3 Pr 3.26
Au1 0.3333 0.6667 0.5000  3 Mg 2.92, 6 Pr 3.23
Au2 0.6667 0.3333 0.5000  3 Mg 2.92, 6 Pr 3.23

Pr3Mg3In2Au | PBE | relaxed

Results
- Total DFT energy (no corrections): -3.5826 eV/atom

a = 7.7223 Å, b = 7.7223 Å, c = 4.6869 Å
α = 90.00°, β = 90.00°, γ = 120.00°
Last column: nearest neighbours and their distance in Å.
Fractional positions:
Pr1 0.0000 0.4076 0.0000  1 Au 3.15, 4 In 3.31
Pr2 0.4076 0.0000 0.0000  1 Au 3.15, 4 In 3.31
Pr3 0.5924 0.5924 0.0000  1 Au 3.15, 4 In 3.31
Mg1 0.0000 0.7665 0.5000  2 Au 2.96, 2 In 3.03, 2 Mg 3.12
Mg2 0.2335 0.2335 0.5000  2 Au 2.96, 2 In 3.03, 2 Mg 3.12
Mg3 0.7665 0.0000 0.5000  2 Au 2.96, 2 In 3.03, 2 Mg 3.12
In1 0.3333 0.6667 0.5000  3 Mg 3.03, 6 Pr 3.31
In2 0.6667 0.3333 0.5000  3 Mg 3.03, 6 Pr 3.31
Au1 0.0000 0.0000 0.0000  6 Mg 2.96, 3 Pr 3.15

Pr3Mg2InPt2Au | PBE | relaxed

Results
- Total DFT energy (no corrections): -4.7829 eV/atom

a = 4.1489 Å, b = 7.7092 Å, c = 7.7092 Å
α = 119.72°, β = 90.00°, γ = 90.00°
Last column: nearest neighbours and their distance in Å.
Fractional positions:
Pr1 0.0000 0.0000 0.0000  4 Pt 3.11, 1 Au 3.13, 2 In 3.31
Pr2 0.0000 0.4262 0.8381  4 Pt 3.10-3.13, 1 Au 3.26, 2 Mg 3.33, 2 In 3.45
Pr3 0.0000 0.8381 0.4262  4 Pt 3.10-3.13, 1 Au 3.26, 2 Mg 3.33, 2 In 3.45
Mg1 0.5000 0.1742 0.4231  2 Au 2.78, 2 Pt 2.93
Mg2 0.5000 0.4231 0.1742  2 Au 2.78, 2 Pt 2.93
In1 0.5000 0.6668 0.6668  2 Au 2.90, 2 Pt 3.02
Pt1 0.5000 0.0961 0.7585  2 Mg 2.93, 1 In 3.02, 6 Pr 3.10-3.13
Pt2 0.5000 0.7585 0.0961  2 Mg 2.93, 1 In 3.02, 6 Pr 3.10-3.13
Au1 0.0000 0.4044 0.4044  4 Mg 2.78, 2 In 2.90

Tb3Mg3InPtAu | PBE | relaxed

Results
- Total DFT energy (no corrections): -4.0808 eV/atom

a = 7.8170 Å, b = 7.8170 Å, c = 3.9984 Å
α = 90.00°, β = 90.00°, γ = 120.00°
Last column: nearest neighbours and their distance in Å.
Fractional positions:
Tb1 0.0904 0.3637 0.0000  2 Pt 2.95, 1 Au 3.20, 2 In 3.25
Tb2 0.2733 0.9096 0.0000  2 Pt 2.95, 1 Au 3.20, 2 In 3.25
Tb3 0.6363 0.7267 0.0000  2 Pt 2.95, 1 Au 3.20, 2 In 3.25
Mg1 0.4189 0.3322 0.5000  2 Au 2.78, 1 In 2.99, 1 Pt 3.00
Mg2 0.6678 0.0867 0.5000  2 Au 2.78, 1 In 2.99, 1 Pt 3.00
Mg3 0.9133 0.5811 0.5000  2 Au 2.78, 1 In 2.99, 1 Pt 3.00
In1 0.0000 0.0000 0.5000  3 Mg 2.99, 6 Tb 3.25
Pt1 0.3333 0.6667 0.5000  6 Tb 2.95, 3 Mg 3.00
Au1 0.6667 0.3333 0.0000  6 Mg 2.78

MgInAuS3 | PBE | relaxed

Results
- Total DFT energy (no corrections): -3.9232 eV/atom

a = 6.9803 Å, b = 6.9803 Å, c = 10.0931 Å
α = 90.00°, β = 90.00°, γ = 147.98°
Last column: nearest neighbours and their distance in Å.
Fractional positions:
Mg1 0.1762 0.8238 0.7500  2 S 2.46
Mg2 0.8238 0.1762 0.2500  2 S 2.46
In1 0.5000 0.5000 0.0000  6 S 2.66
In2 0.5000 0.5000 0.5000  6 S 2.66
Au1 0.1605 0.8395 0.2500  2 S 2.33
Au2 0.8395 0.1605 0.7500  2 S 2.33
S1 0.1356 0.8644 0.0219  1 Au 2.33
S2 0.1356 0.8644 0.4781  1 Au 2.33
S3 0.4376 0.5624 0.2500  2 Mg 2.46, 2 In 2.66
S4 0.5624 0.4376 0.7500  2 Mg 2.46, 2 In 2.66
S5 0.8644 0.1356 0.5219  1 Au 2.33
S6 0.8644 0.1356 0.9781  1 Au 2.33

MgInAuSe3 | PBE | relaxed

Results
- Total DFT energy (no corrections): -3.5347 eV/atom

a = 7.1188 Å, b = 7.1188 Å, c = 10.7640 Å
α = 90.00°, β = 90.00°, γ = 147.46°
Last column: nearest neighbours and their distance in Å.
Fractional positions:
Mg1 0.1869 0.8131 0.7500  2 Se 2.59, 2 Au 2.89
Mg2 0.8131 0.1869 0.2500  2 Se 2.59, 2 Au 2.89
In1 0.5000 0.5000 0.0000  6 Se 2.77-2.84
In2 0.5000 0.5000 0.5000  6 Se 2.77-2.84
Au1 0.1595 0.8405 0.2500  2 Se 2.45
Au2 0.8405 0.1595 0.7500  2 Se 2.45
Se1 0.1393 0.8607 0.0237  1 Au 2.45
Se2 0.1393 0.8607 0.4763  1 Au 2.45
Se3 0.4337 0.5663 0.2500  2 Mg 2.59, 2 In 2.84
Se4 0.5663 0.4337 0.7500  2 Mg 2.59, 2 In 2.84
Se5 0.8607 0.1393 0.5237  1 Au 2.45
Se6 0.8607 0.1393 0.9763  1 Au 2.45